1.
DFT (GGA-PBE) results for crystalline HfHgPb at its relaxed geometry. Values from VASP.

Results
The calculation puts the relative energy among the computed polymorphs at 24.8 meV per atom. As for the space group: P4/mmm.

```
&SYSTEM
  ibrav = 0, nat = 6, ntyp = 3
/
ATOMIC_SPECIES
Hf 178.49 Hf.upf
Hg 200.59 Hg.upf
Pb 207.20 Pb.upf
CELL_PARAMETERS angstrom
3.614 0.000 0.000
0.000 3.614 0.000
0.000 0.000 10.803
ATOMIC_POSITIONS angstrom
Hf 0.000 0.000 0.000
Hf 1.807 1.807 5.401
Hg 0.000 0.000 3.732
Hg 0.000 0.000 7.070
Pb 1.807 1.807 1.863
Pb 1.807 1.807 8.939
```



2.
DFT (GGA-PBE) results for crystalline LiGdHg at its relaxed geometry. Values from VASP.

Results
The calculation puts the relative energy among the computed polymorphs at 289.8 meV per atom. As for the space group: F-43m.

```
&SYSTEM
  ibrav = 0, nat = 3, ntyp = 3
/
ATOMIC_SPECIES
Li 6.94 Li.upf
Gd 157.25 Gd.upf
Hg 200.59 Hg.upf
CELL_PARAMETERS angstrom
0.000 3.478 3.478
3.478 0.000 3.478
3.478 3.478 0.000
ATOMIC_POSITIONS angstrom
Li 0.000 0.000 0.000
Gd 5.216 5.216 5.216
Hg 3.478 3.478 3.478
```



3.
DFT (GGA-PBE) results for crystalline Ba5YHg2 at its relaxed geometry. Values from VASP.

Results
As for the space group: P4/mmm.

```
&SYSTEM
  ibrav = 0, nat = 8, ntyp = 3
/
ATOMIC_SPECIES
Ba 137.33 Ba.upf
Y 88.91 Y.upf
Hg 200.59 Hg.upf
CELL_PARAMETERS angstrom
6.281 0.000 0.000
0.000 6.281 0.000
0.000 0.000 10.393
ATOMIC_POSITIONS angstrom
Ba 0.000 0.000 0.000
Ba 0.000 3.140 2.660
Ba 0.000 3.140 7.733
Ba 3.140 0.000 2.660
Ba 3.140 0.000 7.733
Y 3.140 3.140 0.000
Hg 0.000 0.000 3.783
Hg 0.000 0.000 6.609
```



4.
DFT (GGA-PBE) results for crystalline Ag9Sn at its relaxed geometry. Values from VASP.

Results
The calculation puts the relative energy among the computed polymorphs at 0.0 meV per atom. As for the space group: P4/nmm.

```
&SYSTEM
  ibrav = 0, nat = 20, ntyp = 2
/
ATOMIC_SPECIES
Ag 107.87 Ag.upf
Sn 118.71 Sn.upf
CELL_PARAMETERS angstrom
2.967 0.000 0.000
0.000 2.967 0.000
0.000 0.000 52.776
ATOMIC_POSITIONS angstrom
Ag 0.742 0.742 0.984
Ag 0.742 0.742 4.921
Ag 0.742 0.742 8.860
Ag 0.742 0.742 12.815
Ag 0.742 0.742 16.841
Ag 0.742 0.742 37.969
Ag 0.742 0.742 41.943
Ag 0.742 0.742 45.888
Ag 0.742 0.742 49.822
Ag 2.225 2.225 2.954
Ag 2.225 2.225 6.888
Ag 2.225 2.225 10.833
Ag 2.225 2.225 14.807
Ag 2.225 2.225 35.935
Ag 2.225 2.225 39.961
Ag 2.225 2.225 43.916
Ag 2.225 2.225 47.856
Ag 2.225 2.225 51.792
Sn 0.742 0.742 33.640
Sn 2.225 2.225 19.136
```



5.
DFT (GGA-PBE) results for crystalline Nd2Co at its relaxed geometry. Values from VASP.

Results
As for the space group: Fd-3m. For the energy of formation from the pure elements, the calculation gives 0.98 eV per atom.

```
&SYSTEM
  ibrav = 0, nat = 6, ntyp = 2
/
ATOMIC_SPECIES
Nd 144.24 Nd.upf
Co 58.93 Co.upf
CELL_PARAMETERS angstrom
0.000 5.700 5.700
5.700 0.000 5.700
5.700 5.700 0.000
ATOMIC_POSITIONS angstrom
Nd 0.000 0.000 0.000
Nd 2.850 2.850 0.000
Nd 2.850 0.000 2.850
Nd 0.000 2.850 2.850
Co 1.425 1.425 1.425
Co 9.975 9.975 9.975
```



6.
DFT (GGA-PBE) results for crystalline AlMoOs at its relaxed geometry. Values from VASP.

Results
The calculation puts the relative energy among the computed polymorphs at 0.0 meV per atom. As for the space group: F-43m.

```
&SYSTEM
  ibrav = 0, nat = 3, ntyp = 3
/
ATOMIC_SPECIES
Al 26.98 Al.upf
Mo 95.94 Mo.upf
Os 190.23 Os.upf
CELL_PARAMETERS angstrom
0.000 2.972 2.972
2.972 0.000 2.972
2.972 2.972 0.000
ATOMIC_POSITIONS angstrom
Al 0.000 0.000 0.000
Mo 2.972 2.972 2.972
Os 1.486 1.486 1.486
```



7.
DFT (GGA-PBE) results for crystalline Mo2P at its relaxed geometry. Values from VASP.

Results
The calculation puts the relative energy among the computed polymorphs at 377.4 meV per atom. As for the space group: P-31m.

```
&SYSTEM
  ibrav = 0, nat = 9, ntyp = 2
/
ATOMIC_SPECIES
Mo 95.94 Mo.upf
P 30.97 P.upf
CELL_PARAMETERS angstrom
5.623 0.000 0.000
-2.811 4.869 0.000
0.000 0.000 5.539
ATOMIC_POSITIONS angstrom
Mo -1.090 1.888 1.073
Mo -1.721 2.981 4.466
Mo 2.180 0.000 1.073
Mo 1.090 1.888 4.466
Mo 3.442 0.000 4.466
Mo 1.721 2.981 1.073
P 0.000 0.000 0.000
P 0.000 3.246 2.770
P 2.811 1.623 2.770
```



8.
DFT (GGA-PBE) results for crystalline Co2Ir at its relaxed geometry. Values from VASP.

Results
The calculation puts the relative energy among the computed polymorphs at 1112.8 meV per atom. As for the space group: P4_2/mnm. For the energy of formation from the pure elements, the calculation gives 1.25 eV per atom.

```
&SYSTEM
  ibrav = 0, nat = 6, ntyp = 2
/
ATOMIC_SPECIES
Co 58.93 Co.upf
Ir 192.22 Ir.upf
CELL_PARAMETERS angstrom
5.497 0.000 0.000
0.000 5.497 0.000
0.000 0.000 3.532
ATOMIC_POSITIONS angstrom
Co 1.093 1.093 0.000
Co 1.656 3.842 1.766
Co 3.842 1.656 1.766
Co 4.404 4.404 0.000
Ir 0.000 0.000 1.766
Ir 2.749 2.749 0.000
```



9.
DFT (GGA-PBE) results for crystalline AgGeOs2 at its relaxed geometry. Values from VASP.

Results
As for the space group: F-43m.

```
&SYSTEM
  ibrav = 0, nat = 4, ntyp = 3
/
ATOMIC_SPECIES
Ag 107.87 Ag.upf
Ge 72.64 Ge.upf
Os 190.23 Os.upf
CELL_PARAMETERS angstrom
0.000 3.143 3.143
3.143 0.000 3.143
3.143 3.143 0.000
ATOMIC_POSITIONS angstrom
Ag 0.000 0.000 0.000
Ge 4.714 4.714 4.714
Os 1.571 1.571 1.571
Os 3.143 3.143 3.143
```



10.
DFT (GGA-PBE) results for crystalline PuScPa at its relaxed geometry. Values from VASP.

Results
As for the space group: F-43m. For the energy of formation from the pure elements, the calculation gives 1.05 eV per atom.

```
&SYSTEM
  ibrav = 0, nat = 3, ntyp = 3
/
ATOMIC_SPECIES
Pu 244.00 Pu.upf
Sc 44.96 Sc.upf
Pa 231.04 Pa.upf
CELL_PARAMETERS angstrom
0.000 3.279 3.279
3.279 0.000 3.279
3.279 3.279 0.000
ATOMIC_POSITIONS angstrom
Pu 0.000 0.000 0.000
Sc 4.918 4.918 4.918
Pa 3.279 3.279 3.279
```



11.
DFT (GGA-PBE) results for crystalline NdMgAgS3 at its relaxed geometry. Values from VASP.

Results
As for the space group: Cmcm.

```
&SYSTEM
  ibrav = 0, nat = 12, ntyp = 4
/
ATOMIC_SPECIES
Nd 144.24 Nd.upf
Mg 24.30 Mg.upf
Ag 107.87 Ag.upf
S 32.06 S.upf
CELL_PARAMETERS angstrom
1.919 -6.304 0.000
1.919 6.304 0.000
0.000 0.000 10.826
ATOMIC_POSITIONS angstrom
Nd 0.000 0.000 0.000
Nd 0.000 0.000 5.413
Mg 1.919 3.338 8.119
Mg 1.919 -3.338 2.706
Ag 1.919 0.192 2.706
Ag 1.919 -0.192 8.119
S 1.919 4.809 2.706
S 1.919 1.880 0.877
S 1.919 1.880 4.535
S 1.919 -1.880 6.290
S 1.919 -1.880 9.948
S 1.919 -4.809 8.119
```



12.
DFT (GGA-PBE) results for crystalline GdSnTe3Au at its relaxed geometry. Values from VASP.

Results
The calculation puts the relative energy among the computed polymorphs at 16.0 meV per atom. As for the space group: Pnma.

```
&SYSTEM
  ibrav = 0, nat = 24, ntyp = 4
/
ATOMIC_SPECIES
Gd 157.25 Gd.upf
Sn 118.71 Sn.upf
Te 127.60 Te.upf
Au 196.97 Au.upf
CELL_PARAMETERS angstrom
13.235 0.000 0.000
0.000 4.494 0.000
0.000 0.000 12.345
ATOMIC_POSITIONS angstrom
Gd 0.288 1.123 2.400
Gd 6.329 3.370 8.573
Gd 6.905 1.123 3.772
Gd 12.947 3.370 9.945
Sn 3.149 1.123 5.176
Sn 3.468 3.370 11.348
Sn 9.766 1.123 0.997
Sn 10.086 3.370 7.169
Te 0.454 3.370 4.540
Te 1.298 1.123 11.707
Te 2.600 3.370 8.373
Te 4.017 1.123 2.200
Te 5.319 3.370 5.535
Te 6.164 1.123 10.713
Te 7.071 3.370 1.633
Te 7.915 1.123 6.810
Te 9.218 3.370 10.145
Te 10.634 1.123 3.972
Te 11.936 3.370 0.638
Te 12.781 1.123 7.805
Au 2.592 3.370 2.866
Au 4.026 1.123 9.038
Au 9.209 3.370 3.307
Au 10.643 1.123 9.479
```



13.
DFT (GGA-PBE) results for crystalline KHfGe at its relaxed geometry. Values from VASP.

Results
The calculation puts the relative energy among the computed polymorphs at 917.8 meV per atom. As for the space group: F-43m.

```
&SYSTEM
  ibrav = 0, nat = 3, ntyp = 3
/
ATOMIC_SPECIES
K 39.10 K.upf
Hf 178.49 Hf.upf
Ge 72.64 Ge.upf
CELL_PARAMETERS angstrom
0.000 3.468 3.468
3.468 0.000 3.468
3.468 3.468 0.000
ATOMIC_POSITIONS angstrom
K 0.000 0.000 0.000
Hf 1.734 1.734 1.734
Ge 5.202 5.202 5.202
```



14.
DFT (GGA-PBE) results for crystalline Cs2NdTmO4 at its relaxed geometry. Values from VASP.

Results
As for the space group: P-3m1.

```
&SYSTEM
  ibrav = 0, nat = 8, ntyp = 4
/
ATOMIC_SPECIES
Cs 132.91 Cs.upf
Nd 144.24 Nd.upf
Tm 168.93 Tm.upf
O 16.00 O.upf
CELL_PARAMETERS angstrom
3.565 0.000 0.000
-1.782 3.087 0.000
0.000 0.000 13.619
ATOMIC_POSITIONS angstrom
Cs 0.000 2.058 3.468
Cs 1.782 1.029 10.151
Nd 0.000 0.000 0.000
Tm 0.000 0.000 6.810
O 0.000 2.058 7.888
O 0.000 2.058 12.393
O 1.782 1.029 1.227
O 1.782 1.029 5.731
```



15.
DFT (GGA-PBE) results for crystalline YZnCoNi at its relaxed geometry. Values from VASP.

Results
The calculation puts the relative energy among the computed polymorphs at 0.0 meV per atom. As for the space group: F-43m. For the energy of formation from the pure elements, the calculation gives -0.14 eV per atom.

```
&SYSTEM
  ibrav = 0, nat = 4, ntyp = 4
/
ATOMIC_SPECIES
Y 88.91 Y.upf
Zn 65.41 Zn.upf
Co 58.93 Co.upf
Ni 58.69 Ni.upf
CELL_PARAMETERS angstrom
0.000 3.125 3.125
3.125 0.000 3.125
3.125 3.125 0.000
ATOMIC_POSITIONS angstrom
Y 0.000 0.000 0.000
Zn 3.125 3.125 3.125
Co 4.687 4.687 4.687
Ni 1.562 1.562 1.562
```



16.
DFT (GGA-PBE) results for crystalline CdB2Au at its relaxed geometry. Values from VASP.

Results
As for the space group: F-43m.

```
&SYSTEM
  ibrav = 0, nat = 4, ntyp = 3
/
ATOMIC_SPECIES
Cd 112.41 Cd.upf
B 10.81 B.upf
Au 196.97 Au.upf
CELL_PARAMETERS angstrom
0.000 3.091 3.091
3.091 0.000 3.091
3.091 3.091 0.000
ATOMIC_POSITIONS angstrom
Cd 0.000 0.000 0.000
B 1.546 1.546 1.546
B 3.091 3.091 3.091
Au 4.637 4.637 4.637
```



17.
DFT (GGA-PBE) results for crystalline NaTlSiNi at its relaxed geometry. Values from VASP.

Results
The calculation puts the relative energy among the computed polymorphs at 0.0 meV per atom. As for the space group: F-43m.

```
&SYSTEM
  ibrav = 0, nat = 4, ntyp = 4
/
ATOMIC_SPECIES
Na 22.99 Na.upf
Tl 204.38 Tl.upf
Si 28.09 Si.upf
Ni 58.69 Ni.upf
CELL_PARAMETERS angstrom
0.000 3.269 3.269
3.269 0.000 3.269
3.269 3.269 0.000
ATOMIC_POSITIONS angstrom
Na 0.000 0.000 0.000
Tl 1.634 1.634 1.634
Si 4.903 4.903 4.903
Ni 3.269 3.269 3.269
```



18.
DFT (GGA-PBE) results for crystalline SrPd2Au at its relaxed geometry. Values from VASP.

Results
As for the space group: F-43m.

```
&SYSTEM
  ibrav = 0, nat = 4, ntyp = 3
/
ATOMIC_SPECIES
Sr 87.62 Sr.upf
Pd 106.42 Pd.upf
Au 196.97 Au.upf
CELL_PARAMETERS angstrom
0.000 3.444 3.444
3.444 0.000 3.444
3.444 3.444 0.000
ATOMIC_POSITIONS angstrom
Sr 0.000 0.000 0.000
Pd 3.444 3.444 3.444
Pd 5.166 5.166 5.166
Au 1.722 1.722 1.722
```



19.
DFT (GGA-PBE) results for crystalline GdHoEr2In2 at its relaxed geometry. Values from VASP.

Results
As for the space group: P-6m2.

```
&SYSTEM
  ibrav = 0, nat = 6, ntyp = 4
/
ATOMIC_SPECIES
Gd 157.25 Gd.upf
Ho 164.93 Ho.upf
Er 167.26 Er.upf
In 114.82 In.upf
CELL_PARAMETERS angstrom
5.372 0.000 0.000
-2.686 4.652 0.000
0.000 0.000 6.706
ATOMIC_POSITIONS angstrom
Gd 0.000 0.000 0.000
Ho 2.686 1.551 3.353
Er 0.000 3.101 1.680
Er 0.000 3.101 5.026
In 0.000 0.000 3.353
In 2.686 1.551 0.000
```



20.
DFT (GGA-PBE) results for crystalline Sm4AlNi2Ge4 at its relaxed geometry. Values from VASP.

Results
As for the space group: C2/m.

```
&SYSTEM
  ibrav = 0, nat = 11, ntyp = 4
/
ATOMIC_SPECIES
Sm 150.36 Sm.upf
Al 26.98 Al.upf
Ni 58.69 Ni.upf
Ge 72.64 Ge.upf
CELL_PARAMETERS angstrom
7.782 -2.158 0.000
7.782 2.158 0.000
-2.229 0.000 6.714
ATOMIC_POSITIONS angstrom
Sm 0.542 0.000 2.598
Sm 0.292 0.000 6.322
Sm 13.044 0.000 0.391
Sm 12.793 0.000 4.115
Al 7.782 0.000 0.000
Ni 3.641 0.000 2.376
Ni 9.694 0.000 4.337
Ge 2.977 0.000 4.847
Ge 6.054 0.000 2.232
Ge 7.281 0.000 4.481
Ge 10.358 0.000 1.867
```



no.,total DFT energy (no corrections) (eV per formula unit)
1,-13.30
2,-6.31
3,-16.62
4,-29.13
5,-13.68
6,-25.77
7,-27.29
8,-19.31
9,-26.88
10,-26.79
11,-28.40
12,-25.27
13,-11.01
14,-51.27
15,-20.96
16,-11.00
17,-13.47
18,-16.60
19,-25.93
20,-60.51